Entry 1:
This record from the Alexandria database describes Rb3Ga2Te3 after structural relaxation. The functional is PBE-GGA.

Computed properties:
The raw total energy is -2.91 eV/atom. The value obtained for the energy relative to the elements, uncorrected is -0.615 eV/atom. The value obtained for the density of states at the Fermi level is 0.38 states/eV per atom.

abc: 4.2186 5.6447 13.1934
angles: 86.71 80.81 89.97
Space group P-1 (No. 2)
Asymmetric unit:
Rb 0.0000 0.0000 0.0000 [1 per cell]
Rb 0.1180 0.5368 0.7639 [2 per cell]
Ga 0.2395 0.2854 0.5188 [2 per cell]
Te 0.3212 0.9608 0.3581 [2 per cell]
Te 0.5000 0.5000 0.0000 [1 per cell]



Entry 2:
This record from the Alexandria database describes Rb2GaTe4 after structural relaxation. The functional is PBE-GGA.

Computed properties:
The raw total energy is -2.82 eV/atom. The value obtained for the energy relative to the elements, uncorrected is -0.311 eV/atom. The value obtained for the density of states at the Fermi level is 1.45 states/eV per atom.

abc: 5.6831 5.6831 18.1192
angles: 90.00 90.00 90.00
Space group I4/mmm (No. 139)
Asymmetric unit:
Rb 0.0000 0.0000 0.1439 [4 per cell]
Ga 0.0000 0.0000 0.5000 [2 per cell]
Te 0.0000 0.0000 0.3547 [4 per cell]
Te 0.0000 0.5000 0.0000 [4 per cell]



Question: Which of these has the highest raw total energy?
Answer: Rb2GaTe4